(1)
Compound: FeTeCN2
Source: Alexandria
Functional: PBE-GGA
Structure: relaxed Values from VASP.

Geometry as Quantum ESPRESSO input:
```
&SYSTEM
  ibrav = 0, nat = 5, ntyp = 4
/
ATOMIC_SPECIES
Fe 55.84 Fe.upf
Te 127.60 Te.upf
C 12.01 C.upf
N 14.01 N.upf
ATOMIC_POSITIONS angstrom
Fe 0.000 0.000 0.000
Te 0.000 0.000 2.911
C 1.730 1.730 2.911
N 0.000 1.730 0.000
N 1.730 0.000 0.000
CELL_PARAMETERS angstrom
3.460 0.000 0.000
0.000 3.460 0.000
0.000 0.000 5.822
```

**ΔE to the lowest computed polymorph**: 0.000 eV per atom
**Formation energy without anion corrections**: 1539.3 meV per atom
**Space group**: P4/mmm (123)

=====

(2)
Compound: KNbBr2
Source: Alexandria
Functional: PBE-GGA
Structure: relaxed Values from VASP.

Geometry as Quantum ESPRESSO input:
```
&SYSTEM
  ibrav = 0, nat = 16, ntyp = 3
/
ATOMIC_SPECIES
K 39.10 K.upf
Nb 92.91 Nb.upf
Br 79.90 Br.upf
ATOMIC_POSITIONS angstrom
K 0.000 0.000 0.000
K 0.000 3.599 3.599
K 3.599 0.000 3.599
K 3.599 3.599 0.000
Nb 0.000 0.000 3.599
Nb 0.000 3.599 0.000
Nb 3.599 0.000 0.000
Nb 3.599 3.599 3.599
Br 1.800 1.800 1.800
Br 1.800 1.800 5.399
Br 1.800 5.399 1.800
Br 1.800 5.399 5.399
Br 5.399 1.800 1.800
Br 5.399 1.800 5.399
Br 5.399 5.399 1.800
Br 5.399 5.399 5.399
CELL_PARAMETERS angstrom
7.199 0.000 0.000
0.000 7.199 0.000
0.000 0.000 7.199
```

**ΔE to the lowest computed polymorph**: 0.394 eV per atom
**Formation energy without anion corrections**: 92.7 meV per atom
**Space group**: Fm-3m (225)

=====

(3)
Compound: BaCaSc2
Source: Alexandria
Functional: PBE-GGA
Structure: relaxed Values from VASP.

Geometry as Quantum ESPRESSO input:
```
&SYSTEM
  ibrav = 0, nat = 8, ntyp = 3
/
ATOMIC_SPECIES
Ba 137.33 Ba.upf
Ca 40.08 Ca.upf
Sc 44.96 Sc.upf
ATOMIC_POSITIONS angstrom
Ba 0.000 0.000 0.000
Ba 2.016 2.877 0.000
Ca 0.000 0.000 5.884
Ca 2.016 2.877 5.884
Sc 0.000 2.877 3.095
Sc 0.000 2.877 8.672
Sc 2.016 0.000 3.095
Sc 2.016 0.000 8.672
CELL_PARAMETERS angstrom
4.031 0.000 0.000
0.000 5.754 0.000
0.000 0.000 11.767
```

**ΔE to the lowest computed polymorph**: 0.196 eV per atom
**Space group**: Cmmm (65)
**ΔE_f**: 0.392 eV/atom

=====

(4)
Compound: Tm3CoSi
Source: Alexandria
Functional: PBE-GGA
Structure: relaxed Values from VASP.

Geometry as Quantum ESPRESSO input:
```
&SYSTEM
  ibrav = 0, nat = 10, ntyp = 3
/
ATOMIC_SPECIES
Tm 168.93 Tm.upf
Co 58.93 Co.upf
Si 28.09 Si.upf
ATOMIC_POSITIONS angstrom
Tm 0.698 0.000 1.528
Tm 3.412 0.000 6.506
Tm 5.782 0.000 3.603
Tm 8.898 0.000 4.472
Tm 11.268 0.000 1.568
Tm 13.982 0.000 6.546
Co 3.002 0.000 3.548
Co 11.678 0.000 4.526
Si 5.871 0.000 0.621
Si 8.810 0.000 7.454
CELL_PARAMETERS angstrom
7.547 -1.849 0.000
7.547 1.849 0.000
-0.414 0.000 8.074
```

**Formation energy without anion corrections**: -363.2 meV per atom
**Space group**: C2/m (12)

=====

(5)
Compound: TlGa3Ru
Source: Alexandria
Functional: PBE-GGA
Structure: relaxed Values from VASP.

Geometry as Quantum ESPRESSO input:
```
&SYSTEM
  ibrav = 0, nat = 5, ntyp = 3
/
ATOMIC_SPECIES
Tl 204.38 Tl.upf
Ga 69.72 Ga.upf
Ru 101.07 Ru.upf
ATOMIC_POSITIONS angstrom
Tl 0.000 0.000 0.000
Ga 0.000 2.449 2.449
Ga 2.449 0.000 2.449
Ga 2.449 2.449 0.000
Ru 2.449 2.449 2.449
CELL_PARAMETERS angstrom
4.898 0.000 0.000
0.000 4.898 0.000
0.000 0.000 4.898
```

**ΔE to the lowest computed polymorph**: 0.000 eV per atom
**Space group**: Pm-3m (221)
**ΔE_f**: -0.099 eV/atom

=====

(6)
Compound: KInSn2Au4
Source: Alexandria
Functional: PBE-GGA
Structure: relaxed Values from VASP.

Geometry as Quantum ESPRESSO input:
```
&SYSTEM
  ibrav = 0, nat = 8, ntyp = 4
/
ATOMIC_SPECIES
K 39.10 K.upf
In 114.82 In.upf
Sn 118.71 Sn.upf
Au 196.97 Au.upf
ATOMIC_POSITIONS angstrom
K 0.000 0.000 0.000
In 0.000 0.000 15.592
Sn 0.000 0.000 7.616
Sn 0.000 0.000 23.568
Au 0.000 0.000 4.412
Au 0.000 0.000 12.641
Au 0.000 0.000 18.543
Au 0.000 0.000 26.771
CELL_PARAMETERS angstrom
2.377 1.373 10.394
-2.377 1.373 10.394
0.000 -2.745 10.394
```

**Space group**: R-3m (166)
**ΔE_f**: -0.176 eV/atom

=====

(7)
Compound: Dy2MgFeC
Source: Alexandria
Functional: PBE-GGA
Structure: relaxed Values from VASP.

Geometry as Quantum ESPRESSO input:
```
&SYSTEM
  ibrav = 0, nat = 5, ntyp = 4
/
ATOMIC_SPECIES
Dy 162.50 Dy.upf
Mg 24.30 Mg.upf
Fe 55.84 Fe.upf
C 12.01 C.upf
ATOMIC_POSITIONS angstrom
Dy 0.000 2.520 0.000
Dy 2.520 0.000 0.000
Mg 0.000 0.000 1.857
Fe 2.520 2.520 1.857
C 2.520 2.520 0.000
CELL_PARAMETERS angstrom
5.041 0.000 0.000
0.000 5.041 0.000
0.000 0.000 3.714
```

**Space group**: P4/mmm (123)
**ΔE_f**: -0.196 eV/atom

=====

(8)
Compound: Ac12SmRu7
Source: Alexandria
Functional: PBE-GGA
Structure: relaxed Values from VASP.

Geometry as Quantum ESPRESSO input:
```
&SYSTEM
  ibrav = 0, nat = 20, ntyp = 3
/
ATOMIC_SPECIES
Ac 227.00 Ac.upf
Sm 150.36 Sm.upf
Ru 101.07 Ru.upf
ATOMIC_POSITIONS angstrom
Ac -0.567 -2.245 1.787
Ac -1.661 1.614 1.787
Ac -2.937 -2.977 5.094
Ac -4.046 1.055 5.245
Ac 2.228 0.631 1.787
Ac 1.109 -4.032 5.245
Ac -1.109 4.032 5.094
Ac -2.228 -0.631 8.552
Ac 4.046 -1.055 5.094
Ac 2.937 2.977 5.245
Ac 1.661 -1.614 8.552
Ac 0.567 2.245 8.552
Sm 0.000 0.000 5.169
Ru 0.000 0.000 0.000
Ru -2.525 -0.512 3.463
Ru 1.706 -1.931 3.463
Ru 0.819 2.443 3.463
Ru -0.819 -2.443 6.876
Ru -1.706 1.931 6.876
Ru 2.525 0.512 6.876
CELL_PARAMETERS angstrom
7.544 4.355 3.446
-7.544 4.355 3.446
0.000 -8.711 3.446
```

**Space group**: R-3 (148)
**ΔE_f**: -0.152 eV/atom

=====

(9)
Compound: EuPuZnSn
Source: Alexandria
Functional: PBE-GGA
Structure: relaxed Values from VASP.

Geometry as Quantum ESPRESSO input:
```
&SYSTEM
  ibrav = 0, nat = 16, ntyp = 4
/
ATOMIC_SPECIES
Eu 151.96 Eu.upf
Pu 244.00 Pu.upf
Zn 65.41 Zn.upf
Sn 118.71 Sn.upf
ATOMIC_POSITIONS angstrom
Eu 0.000 0.000 0.000
Eu 0.000 3.778 3.778
Eu 3.778 0.000 3.778
Eu 3.778 3.778 0.000
Pu 0.000 0.000 3.778
Pu 0.000 3.778 0.000
Pu 3.778 0.000 0.000
Pu 3.778 3.778 3.778
Zn 1.889 1.889 5.667
Zn 1.889 5.667 1.889
Zn 5.667 1.889 1.889
Zn 5.667 5.667 5.667
Sn 1.889 1.889 1.889
Sn 1.889 5.667 5.667
Sn 5.667 1.889 5.667
Sn 5.667 5.667 1.889
CELL_PARAMETERS angstrom
7.556 0.000 0.000
0.000 7.556 0.000
0.000 0.000 7.556
```

**Space group**: F-43m (216)
**ΔE_f**: -0.316 eV/atom

=====

(10)
Compound: CeGeAsRh3
Source: Alexandria
Functional: PBE-GGA
Structure: relaxed Values from VASP.

Geometry as Quantum ESPRESSO input:
```
&SYSTEM
  ibrav = 0, nat = 12, ntyp = 4
/
ATOMIC_SPECIES
Ce 140.12 Ce.upf
Ge 72.64 Ge.upf
As 74.92 As.upf
Rh 102.91 Rh.upf
ATOMIC_POSITIONS angstrom
Ce 2.817 4.577 4.218
Ce 2.817 -4.577 1.406
Ge 2.817 1.449 1.406
Ge 2.817 -1.449 4.218
As 2.817 6.307 1.406
As 2.817 -6.307 4.218
Rh 2.817 3.887 1.406
Rh 1.412 0.000 0.000
Rh 1.412 0.000 2.812
Rh 4.222 0.000 0.000
Rh 4.222 0.000 2.812
Rh 2.817 -3.887 4.218
CELL_PARAMETERS angstrom
2.817 -7.678 0.000
2.817 7.678 0.000
0.000 0.000 5.625
```

**Space group**: Cmcm (63)
**ΔE_f**: -0.666 eV/atom

=====

(11)
Compound: Fe3AgH
Source: Alexandria
Functional: PBE-GGA
Structure: relaxed Values from VASP.

Geometry as Quantum ESPRESSO input:
```
&SYSTEM
  ibrav = 0, nat = 5, ntyp = 3
/
ATOMIC_SPECIES
Fe 55.84 Fe.upf
Ag 107.87 Ag.upf
H 1.01 H.upf
ATOMIC_POSITIONS angstrom
Fe 0.000 0.000 2.402
Fe 0.000 2.402 0.000
Fe 2.402 0.000 0.000
Ag 0.000 0.000 0.000
H 2.402 2.402 2.402
CELL_PARAMETERS angstrom
4.804 0.000 0.000
0.000 4.804 0.000
0.000 0.000 4.804
```

**ΔE to the lowest computed polymorph**: 1.840 eV per atom
**Space group**: Pm-3m (221)

=====

(12)
Compound: USnBi
Source: Alexandria
Functional: PBE-GGA
Structure: relaxed Values from VASP.

Geometry as Quantum ESPRESSO input:
```
&SYSTEM
  ibrav = 0, nat = 6, ntyp = 3
/
ATOMIC_SPECIES
U 238.03 U.upf
Sn 118.71 Sn.upf
Bi 208.98 Bi.upf
ATOMIC_POSITIONS angstrom
U 0.000 0.000 0.000
U 1.612 1.612 8.531
Sn 0.000 0.000 10.762
Sn 1.612 1.612 2.231
Bi 0.000 0.000 13.801
Bi 1.612 1.612 5.270
CELL_PARAMETERS angstrom
3.224 0.000 0.000
0.000 3.224 0.000
0.000 0.000 17.063
```

**ΔE to the lowest computed polymorph**: 0.311 eV per atom
**Space group**: I4mm (107)
**ΔE_f**: 0.317 eV/atom

=====

(13)
Compound: Cr2MoSe
Source: Alexandria
Functional: PBE-GGA
Structure: relaxed Values from VASP.

Geometry as Quantum ESPRESSO input:
```
&SYSTEM
  ibrav = 0, nat = 8, ntyp = 3
/
ATOMIC_SPECIES
Cr 52.00 Cr.upf
Mo 95.94 Mo.upf
Se 78.96 Se.upf
ATOMIC_POSITIONS angstrom
Cr 0.000 0.000 0.000
Cr 0.000 1.797 2.167
Cr 1.797 0.000 6.501
Cr 1.797 1.797 4.334
Mo 0.000 1.797 6.501
Mo 1.797 0.000 2.167
Se 0.000 0.000 4.334
Se 1.797 1.797 0.000
CELL_PARAMETERS angstrom
3.595 0.000 0.000
0.000 3.595 0.000
0.000 0.000 8.668
```

**Formation energy without anion corrections**: 302.9 meV per atom
**Space group**: I-4m2 (119)

=====

(14)
Compound: Ho3ErPt3
Source: Alexandria
Functional: PBE-GGA
Structure: relaxed Values from VASP.

Geometry as Quantum ESPRESSO input:
```
&SYSTEM
  ibrav = 0, nat = 14, ntyp = 3
/
ATOMIC_SPECIES
Ho 164.93 Ho.upf
Er 167.26 Er.upf
Pt 195.08 Pt.upf
ATOMIC_POSITIONS angstrom
Ho 4.571 3.364 0.000
Ho 4.490 2.621 3.530
Ho 3.031 0.000 0.837
Ho 5.950 0.000 6.223
Ho 4.490 -2.621 3.530
Ho 4.571 -3.364 0.000
Er 2.279 0.000 4.329
Er 6.702 0.000 2.731
Pt 2.229 2.473 5.517
Pt 0.494 0.000 2.157
Pt 2.229 -2.473 5.517
Pt 6.751 2.473 1.543
Pt 8.486 0.000 4.903
Pt 6.751 -2.473 1.543
CELL_PARAMETERS angstrom
4.571 -5.196 0.000
4.571 5.196 0.000
-0.162 0.000 7.060
```

**Space group**: C2/m (12)
**ΔE_f**: -1.037 eV/atom

=====

(15)
Compound: CoCuRu
Source: Alexandria
Functional: PBE-GGA
Structure: relaxed Values from VASP.

Geometry as Quantum ESPRESSO input:
```
&SYSTEM
  ibrav = 0, nat = 12, ntyp = 3
/
ATOMIC_SPECIES
Co 58.93 Co.upf
Cu 63.55 Cu.upf
Ru 101.07 Ru.upf
ATOMIC_POSITIONS angstrom
Co 0.000 0.000 0.000
Co 0.000 2.807 2.807
Co 2.807 0.000 2.807
Co 2.807 2.807 0.000
Cu 0.000 0.000 2.807
Cu 0.000 2.807 0.000
Cu 2.807 0.000 0.000
Cu 2.807 2.807 2.807
Ru 1.403 1.403 4.210
Ru 1.403 4.210 1.403
Ru 4.210 1.403 1.403
Ru 4.210 4.210 4.210
CELL_PARAMETERS angstrom
5.613 0.000 0.000
0.000 5.613 0.000
0.000 0.000 5.613
```

**ΔE to the lowest computed polymorph**: 0.624 eV per atom
**Space group**: F-43m (216)
**ΔE_f**: 0.828 eV/atom

=====

(16)
Compound: GaCuPd
Source: Alexandria
Functional: PBE-GGA
Structure: relaxed Values from VASP.

Geometry as Quantum ESPRESSO input:
```
&SYSTEM
  ibrav = 0, nat = 12, ntyp = 3
/
ATOMIC_SPECIES
Ga 69.72 Ga.upf
Cu 63.55 Cu.upf
Pd 106.42 Pd.upf
ATOMIC_POSITIONS angstrom
Ga 1.249 0.000 0.495
Ga 1.015 1.995 4.197
Ga 5.816 1.995 0.495
Ga 5.582 0.000 4.197
Cu -1.671 1.995 3.545
Cu 3.936 0.000 1.147
Cu 2.896 0.000 3.545
Cu 8.502 1.995 1.147
Pd 0.172 0.000 2.881
Pd 2.093 1.995 1.811
Pd 4.738 1.995 2.881
Pd 6.659 0.000 1.811
CELL_PARAMETERS angstrom
9.133 0.000 0.000
0.000 3.990 0.000
-2.302 0.000 4.692
```

**ΔE to the lowest computed polymorph**: 0.006 eV per atom
**Space group**: C2/m (12)
**ΔE_f**: -0.345 eV/atom

=====

(17)
Compound: K2UO2F4
Source: Alexandria
Functional: PBE-GGA
Structure: relaxed Values from VASP.

Geometry as Quantum ESPRESSO input:
```
&SYSTEM
  ibrav = 0, nat = 9, ntyp = 4
/
ATOMIC_SPECIES
K 39.10 K.upf
U 238.03 U.upf
O 16.00 O.upf
F 19.00 F.upf
ATOMIC_POSITIONS angstrom
K 1.619 0.000 1.532
K 8.716 0.000 3.173
U 5.327 0.000 0.000
O 3.720 0.000 3.386
O 6.615 0.000 1.318
F 4.216 1.657 0.947
F 6.119 1.657 3.757
F 4.216 -1.657 0.947
F 6.119 -1.657 3.757
CELL_PARAMETERS angstrom
5.327 -3.184 0.000
5.327 3.184 0.000
-0.318 0.000 4.704
```

**Formation energy without anion corrections**: -3113.1 meV per atom
**Space group**: C2/m (12)

=====

(18)
Compound: Tc3Br
Source: Alexandria
Functional: PBE-GGA
Structure: relaxed Values from VASP.

Geometry as Quantum ESPRESSO input:
```
&SYSTEM
  ibrav = 0, nat = 8, ntyp = 2
/
ATOMIC_SPECIES
Tc 98.00 Tc.upf
Br 79.90 Br.upf
ATOMIC_POSITIONS angstrom
Tc 0.000 1.257 2.513
Tc 0.000 3.770 2.513
Tc 1.257 2.513 0.000
Tc 2.513 0.000 1.257
Tc 2.513 0.000 3.770
Tc 3.770 2.513 0.000
Br 0.000 0.000 0.000
Br 2.513 2.513 2.513
CELL_PARAMETERS angstrom
5.027 0.000 0.000
0.000 5.027 0.000
0.000 0.000 5.027
```

**ΔE to the lowest computed polymorph**: 0.726 eV per atom
**Formation energy without anion corrections**: 1235.2 meV per atom
**Space group**: Pm-3n (223)

=====

(19)
Compound: MgAg4Ge
Source: Alexandria
Functional: PBE-GGA
Structure: relaxed Values from VASP.

Geometry as Quantum ESPRESSO input:
```
&SYSTEM
  ibrav = 0, nat = 12, ntyp = 3
/
ATOMIC_SPECIES
Mg 24.30 Mg.upf
Ag 107.87 Ag.upf
Ge 72.64 Ge.upf
ATOMIC_POSITIONS angstrom
Mg 0.735 6.064 3.571
Mg 2.185 -6.064 1.190
Ag -0.695 3.528 3.611
Ag -0.744 0.515 3.615
Ag 0.705 -0.515 1.234
Ag 0.755 -3.528 1.231
Ag 2.165 3.528 3.530
Ag 2.215 0.515 3.527
Ag 3.664 -0.515 1.147
Ag 3.614 -3.528 1.150
Ge 2.185 2.022 1.190
Ge 0.735 -2.022 3.571
CELL_PARAMETERS angstrom
2.909 -8.081 0.000
2.909 8.081 0.000
-2.899 0.000 4.761
```

**ΔE to the lowest computed polymorph**: 0.000 eV per atom
**Space group**: C2/c (15)
**ΔE_f**: 0.028 eV/atom

=====

(20)
Compound: Sc2CrOs
Source: Alexandria
Functional: PBE-GGA
Structure: relaxed Values from VASP.

Geometry as Quantum ESPRESSO input:
```
&SYSTEM
  ibrav = 0, nat = 8, ntyp = 3
/
ATOMIC_SPECIES
Sc 44.96 Sc.upf
Cr 52.00 Cr.upf
Os 190.23 Os.upf
ATOMIC_POSITIONS angstrom
Sc 0.000 0.000 0.000
Sc 0.000 2.282 2.103
Sc 1.584 0.000 6.862
Sc 1.584 2.282 4.760
Cr 0.000 2.282 7.330
Cr 1.584 0.000 2.571
Os 0.000 0.000 4.525
Os 1.584 2.282 9.285
CELL_PARAMETERS angstrom
3.168 0.000 0.000
0.000 4.564 0.000
0.000 0.000 9.519
```

**ΔE to the lowest computed polymorph**: 0.045 eV per atom
**Space group**: Imm2 (44)
**ΔE_f**: -0.099 eV/atom

=====

Density of states at the Fermi level: 2.6 35.5 15.8 7.4 1.7 2.3 3.2 10.6 51.7 14.1 7.3 9.3 5.3 8.8 10.9 3.2 0.0 13.9 3.4 6.6 (states/eV per cell)